No. 1
Entry from Alexandria: a relaxed structure of TeS3N (PBEsol).

a b c (Å): 4.2264 4.2264 4.2264
angles (deg): 90.00 90.00 90.00
Closest atoms and distances in Å follow each position.
Fractional positions:
S (0.0000, 0.0000, 0.5000)  2 N 2.11
S (0.5000, 0.0000, 0.0000)  2 N 2.11
S (0.0000, 0.5000, 0.0000)  2 N 2.11
Te (0.5000, 0.5000, 0.5000)  12 S 2.99
N (0.0000, 0.0000, 0.0000)  6 S 2.11

Space-group type ... No. 221
Electronic total energy ... -4.17 eV/atom
E_form (uncorrected) ... 4.36 eV/f.u.


No. 2
Entry from Alexandria: a relaxed structure of TeSN2 (PBEsol).

a b c (Å): 4.0675 4.0675 4.0675
angles (deg): 60.00 60.00 60.00
Closest atoms and distances in Å follow each position.
Fractional positions:
N (0.7500, 0.7500, 0.7500)  4 S 2.49, 4 Te 2.49
N (0.2500, 0.2500, 0.2500)  4 S 2.49, 4 Te 2.49
S (0.0000, 0.0000, 0.0000)  8 N 2.49
Te (0.5000, 0.5000, 0.5000)  8 N 2.49

Space-group type ... No. 225
Electronic total energy ... -4.45 eV/atom
E_form (uncorrected) ... 7.17 eV/f.u.


No. 3
Entry from Alexandria: a relaxed structure of Te2SN (PBEsol).

a b c (Å): 3.5444 3.5444 8.2849
angles (deg): 77.65 77.65 60.00
Closest atoms and distances in Å follow each position.
Fractional positions:
Te (0.0805, 0.0805, 0.7586)  1 N 1.94
Te (0.9195, 0.9195, 0.2414)  1 N 1.94
N (0.0000, 0.0000, 0.0000)  2 Te 1.94
S (0.5000, 0.5000, 0.5000)  6 Te 2.91

Space-group type ... No. 166
E above lowest polymorph ... 0.0 meV/atom
Electronic total energy ... -4.29 eV/atom
E_form (uncorrected) ... 2.80 eV/f.u.


No. 4
Entry from Alexandria: a relaxed structure of Te2SN (PBEsol).

a b c (Å): 4.6170 4.6170 4.6170
angles (deg): 60.00 60.00 60.00
Closest atoms and distances in Å follow each position.
Fractional positions:
S (0.5000, 0.5000, 0.5000)  8 Te 2.83
Te (0.7500, 0.7500, 0.7500)  4 S 2.83, 4 N 2.83
Te (0.2500, 0.2500, 0.2500)  4 S 2.83, 4 N 2.83
N (0.0000, 0.0000, 0.0000)  8 Te 2.83

Space-group type ... No. 225
E above lowest polymorph ... 450.0 meV/atom
Electronic total energy ... -3.84 eV/atom
E_form (uncorrected) ... 4.60 eV/f.u.


No. 5
Entry from Alexandria: a relaxed structure of ZnTeS2N (PBEsol).

a b c (Å): 3.6992 4.7215 4.7215
angles (deg): 90.00 90.00 90.00
Closest atoms and distances in Å follow each position.
Fractional positions:
N (0.0000, 0.0000, 0.0000)  2 Zn 1.85
S (0.0000, 0.0000, 0.5000)  2 N 2.36
S (0.0000, 0.5000, 0.0000)  2 N 2.36
Te (0.5000, 0.5000, 0.5000)  8 S 3.00, 4 Zn 3.34
Zn (0.5000, 0.0000, 0.0000)  2 N 1.85

Space-group type ... No. 123
Electronic total energy ... -3.86 eV/atom
E_form (uncorrected) ... 3.12 eV/f.u.


No. 6
Entry from Alexandria: a relaxed structure of ZrTeSN2 (PBEsol).

a b c (Å): 3.9753 3.9753 4.9451
angles (deg): 90.00 90.00 90.00
Closest atoms and distances in Å follow each position.
Fractional positions:
N (0.0000, 0.5000, 0.0000)  2 Te 1.99
N (0.5000, 0.0000, 0.0000)  2 Te 1.99
Zr (0.5000, 0.5000, 0.5000)  4 S 2.81
S (0.0000, 0.0000, 0.5000)  2 Te 2.47
Te (0.0000, 0.0000, 0.0000)  4 N 1.99

Space-group type ... No. 123
E above lowest polymorph ... 0.0 meV/atom
Electronic total energy ... -6.05 eV/atom
E_form (uncorrected) ... 3.78 eV/f.u.


No. 7
Entry from Alexandria: a relaxed structure of ZrTeSN2 (PBEsol).

a b c (Å): 3.9673 3.9673 4.8032
angles (deg): 90.00 90.00 90.00
Closest atoms and distances in Å follow each position.
Fractional positions:
Zr (0.5000, 0.5000, 0.5000)  4 Te 2.81, 8 N 3.11
S (0.0000, 0.0000, 0.0000)  4 N 1.98
Te (0.0000, 0.0000, 0.5000)  2 S 2.40
N (0.0000, 0.5000, 0.0000)  2 S 1.98
N (0.5000, 0.0000, 0.0000)  2 S 1.98

Space-group type ... No. 123
E above lowest polymorph ... 348.5 meV/atom
Electronic total energy ... -5.71 eV/atom
E_form (uncorrected) ... 5.52 eV/f.u.


No. 8
Entry from Alexandria: a relaxed structure of Th2SN2 (PBEsol).

a b c (Å): 3.9861 3.9861 6.8463
angles (deg): 90.00 90.00 120.00
Closest atoms and distances in Å follow each position.
Fractional positions:
Th (0.3333, 0.6667, 0.2867)  4 N 2.36-2.37
Th (0.6667, 0.3333, 0.7133)  4 N 2.36-2.37
N (0.3333, 0.6667, 0.6316)  4 Th 2.36-2.37
N (0.6667, 0.3333, 0.3684)  4 Th 2.36-2.37
S (0.0000, 0.0000, 0.0000)  6 Th 3.02

Space-group type ... No. 164
Electronic total energy ... -9.62 eV/atom
E_form (uncorrected) ... -10.47 eV/f.u.